# 1
## BaHf2AuI (PBE-GGA)

Data for an optimized crystal structure of BaHf2AuI.

abc: 5.200 6.747 5.200
angles: 90.00 90.00 90.00
Site moments in Bohr magnetons follow the coordinates.
Sites, in units of the cell vectors:
I 0.500 0.500 0.500  0.00
Hf 0.000 0.000 0.500  0.41
Hf 0.500 0.000 0.000  0.58
Au 0.000 0.000 0.000  0.03
Ba 0.000 0.500 0.000  0.03

Summary:
Total magnetic moment, μB per formula unit: 1.87
Formation energy (no corrections), eV per atom: 0.279
Space group: P4/mmm

# 2
## Ba2BeCd (PBE-GGA)

Data for an optimized crystal structure of Ba2BeCd.

abc: 8.958 8.958 8.958
angles: 30.33 30.33 30.33
Sites, in units of the cell vectors:
Be 0.458 0.458 0.458
Ba 0.041 0.041 0.041
Ba 0.209 0.209 0.209
Cd 0.792 0.792 0.792

Summary:
Energy relative to the elements, eV per atom: 0.08
Total magnetic moment, μB per formula unit: 0.00
Space group: R3m

# 3
## YBe2SnC (PBE-GGA)

Data for an optimized crystal structure of YBe2SnC.

abc: 5.136 5.909 5.136
angles: 90.00 90.00 90.00
Site moments in Bohr magnetons follow the coordinates.
Sites, in units of the cell vectors:
Y 0.000 0.000 0.000  -0.34
Be 0.000 0.000 0.500  -0.03
Be 0.500 0.000 0.000  -0.10
C 0.500 0.500 0.500  0.80
Sn 0.000 0.500 0.000  -0.18

Summary:
Energy relative to the elements, eV per atom: 2.74
Total magnetic moment, μB per formula unit: 0.46
Space group: P4/mmm

# 4
## MgCoP (PBE-GGA)

Data for an optimized crystal structure of MgCoP.

abc: 5.172 5.408 3.598
angles: 89.95 69.62 72.71
Sites, in units of the cell vectors:
P 0.027 0.668 0.250
P 0.470 0.204 0.028
Mg 0.083 0.022 0.721
Mg 0.628 0.638 0.950
Co 0.651 0.012 0.438
Co 0.259 0.448 0.634

Summary:
Energy relative to the elements, eV per atom: -0.47
Total magnetic moment, μB per formula unit: 0.00
Space group: Cm

# 5
## BeTlIr2 (PBE-GGA)

Data for an optimized crystal structure of BeTlIr2.

abc: 5.268 5.268 2.894
angles: 74.41 74.41 114.94
Sites, in units of the cell vectors:
Be 0.000 0.500 0.500
Tl 0.500 0.000 0.500
Ir 0.000 0.000 0.000
Ir 0.500 0.500 0.000

Summary:
Energy relative to the elements, eV per atom: 0.49
Total magnetic moment, μB per formula unit: 0.00
Space group: C2/m

# 6
## NaH2Au2 (PBE-GGA)

Data for an optimized crystal structure of NaH2Au2.

abc: 3.829 3.829 5.214
angles: 68.46 68.46 90.00
Sites, in units of the cell vectors:
Na 0.000 0.000 0.000
Au 0.340 0.340 0.321
Au 0.660 0.660 0.679
H 0.750 0.250 0.500
H 0.250 0.750 0.500

Summary:
Total magnetic moment, μB per formula unit: 0.00
E, eV/atom: -2.81
Space group: I4/mmm

# 7
## Ca2TiTl (PBE-GGA)

Data for an optimized crystal structure of Ca2TiTl.

abc: 5.418 5.418 5.418
angles: 60.00 60.00 60.00
Site moments in Bohr magnetons follow the coordinates.
Sites, in units of the cell vectors:
Tl 0.500 0.500 0.500  -0.05
Ca 0.250 0.250 0.250  0.09
Ca 0.750 0.750 0.750  0.09
Ti 0.000 0.000 0.000  1.89

Summary:
Energy relative to the elements, eV per atom: 0.17
Total magnetic moment, μB per formula unit: 2.89
Space group: Fm-3m

# 8
## NaCoGe3 (PBE-GGA)

Data for an optimized crystal structure of NaCoGe3.

abc: 4.923 4.923 4.923
angles: 90.00 90.00 90.00
Site moments in Bohr magnetons follow the coordinates.
Sites, in units of the cell vectors:
Na 0.000 0.000 0.000  0.00
Ge 0.000 0.500 0.000  -0.03
Ge 0.000 0.000 0.500  -0.02
Ge 0.500 0.000 0.000  -0.06
Co 0.500 0.500 0.500  2.04

Summary:
Energy relative to the elements, eV per atom: 1.50
Total magnetic moment, μB per formula unit: 1.79
Space group: Pm-3m

# 9
## TcOs2W (PBE-GGA)

Data for an optimized crystal structure of TcOs2W.

abc: 4.797 4.797 4.797
angles: 132.16 132.17 69.97
Sites, in units of the cell vectors:
Os 0.000 0.000 0.000
Os 0.750 0.250 0.500
Tc 0.500 0.500 0.000
W 0.250 0.750 0.500

Summary:
Energy relative to the elements, eV per atom: 0.06
Total magnetic moment, μB per formula unit: 0.00
Space group: I-4m2

# 10
## DyTiRe (PBE-GGA)

Data for an optimized crystal structure of DyTiRe.

abc: 6.830 6.830 6.126
angles: 90.00 90.00 90.00
Sites, in units of the cell vectors:
Ti 0.302 0.302 0.000
Ti 0.698 0.698 0.500
Ti 0.198 0.802 0.250
Ti 0.802 0.198 0.750
Re 0.549 0.451 0.750
Re 0.951 0.951 0.500
Re 0.049 0.049 0.000
Re 0.451 0.549 0.250
Dy 0.741 0.259 0.250
Dy 0.759 0.759 0.000
Dy 0.241 0.241 0.500
Dy 0.259 0.741 0.750

Summary:
Energy relative to the elements, eV per atom: 0.34
Total magnetic moment, μB per formula unit: 0.00
Space group: P4_12_12

# 11
## Dy4Zn5Au6 (PBE-GGA)

Data for an optimized crystal structure of Dy4Zn5Au6.

abc: 3.922 10.961 14.908
angles: 90.00 90.00 100.31
Sites, in units of the cell vectors:
Dy 0.948 0.896 0.277
Dy 0.052 0.104 0.777
Dy 0.142 0.283 0.288
Dy 0.858 0.717 0.788
Dy 0.811 0.623 0.447
Dy 0.189 0.377 0.947
Dy 0.023 0.046 0.507
Dy 0.977 0.954 0.007
Zn 0.463 0.925 0.667
Zn 0.537 0.075 0.167
Zn 0.172 0.343 0.645
Zn 0.828 0.657 0.145
Zn 0.637 0.274 0.463
Zn 0.363 0.726 0.963
Zn 0.309 0.619 0.616
Zn 0.691 0.381 0.116
Zn 0.332 0.665 0.282
Zn 0.668 0.335 0.782
Au 0.744 0.488 0.275
Au 0.418 0.836 0.429
Au 0.784 0.569 0.984
Au 0.216 0.431 0.484
Au 0.457 0.914 0.849
Au 0.543 0.086 0.349
Au 0.412 0.824 0.131
Au 0.588 0.176 0.631
Au 0.103 0.205 0.096
Au 0.897 0.795 0.596
Au 0.582 0.164 0.929
Au 0.256 0.512 0.775

Summary:
Energy relative to the elements, eV per atom: -0.57
Total magnetic moment, μB per formula unit: 0.00
Space group: Cmc2_1

# 12
## Cs6K2HAu3 (PBE-GGA)

Data for an optimized crystal structure of Cs6K2HAu3.

abc: 8.359 9.770 9.811
angles: 119.86 91.96 90.00
Sites, in units of the cell vectors:
Cs 0.734 0.323 0.158
Cs 0.266 0.677 0.842
Cs 0.723 0.850 0.700
Cs 0.277 0.150 0.300
Cs 0.266 0.165 0.842
Cs 0.734 0.835 0.158
K 0.252 0.668 0.336
K 0.748 0.332 0.664
H 0.500 0.000 0.000
Au 0.000 0.500 0.000
Au 0.500 0.500 0.500
Au 0.500 0.000 0.500

Summary:
Total magnetic moment, μB per formula unit: 0.44
E, eV/atom: -1.87
Space group: C2/m

> What is the total magnetic moment in the second record?

0.00 μB per formula unit

What did the eleventh record say?
## Dy4Zn5Au6 (PBE-GGA)

Data for an optimized crystal structure of Dy4Zn5Au6.

abc: 3.922 10.961 14.908
angles: 90.00 90.00 100.31
Sites, in units of the cell vectors:
Dy 0.948 0.896 0.277
Dy 0.052 0.104 0.777
Dy 0.142 0.283 0.288
Dy 0.858 0.717 0.788
Dy 0.811 0.623 0.447
Dy 0.189 0.377 0.947
Dy 0.023 0.046 0.507
Dy 0.977 0.954 0.007
Zn 0.463 0.925 0.667
Zn 0.537 0.075 0.167
Zn 0.172 0.343 0.645
Zn 0.828 0.657 0.145
Zn 0.637 0.274 0.463
Zn 0.363 0.726 0.963
Zn 0.309 0.619 0.616
Zn 0.691 0.381 0.116
Zn 0.332 0.665 0.282
Zn 0.668 0.335 0.782
Au 0.744 0.488 0.275
Au 0.418 0.836 0.429
Au 0.784 0.569 0.984
Au 0.216 0.431 0.484
Au 0.457 0.914 0.849
Au 0.543 0.086 0.349
Au 0.412 0.824 0.131
Au 0.588 0.176 0.631
Au 0.103 0.205 0.096
Au 0.897 0.795 0.596
Au 0.582 0.164 0.929
Au 0.256 0.512 0.775

Summary:
Energy relative to the elements, eV per atom: -0.57
Total magnetic moment, μB per formula unit: 0.00
Space group: Cmc2_1

> Among the records above, which one has the highest total magnetic moment?

Ca2TiTl

> Number 8 is which compound?

NaCoGe3